First-principles (GGA-PBE) data for NaLiZn2Br6 after structural relaxation, as listed in the Alexandria database.

Results
Total magnetization ... 0.00 μB per cell
Uncorrected formation energy ... -1.128 eV per atom
Space-group type ... No. 15

abc: 7.3006 9.4189 9.4189
angles: 86.60 76.99 76.99
Last column: nearest neighbours and their distance in Å.
Positions (direct):
Br: 0.5222 0.4321 0.2972  2 Zn 2.45-2.49
Li: 0.2500 0.2251 0.7749  4 Br 2.57-2.66
Li: 0.7500 0.7749 0.2251  4 Br 2.57-2.66
Zn: 0.7651 0.6139 0.7774  4 Br 2.42-2.49
Zn: 0.2349 0.3861 0.2226  4 Br 2.42-2.49
Br: 0.4088 0.8675 0.3789  1 Zn 2.42, 1 Li 2.57
Br: 0.3428 0.1991 0.0344  1 Zn 2.45, 1 Li 2.66
Br: 0.6572 0.8009 0.9656  1 Zn 2.45, 1 Li 2.66
Zn: 0.7349 0.2226 0.3861  4 Br 2.42-2.49
Br: 0.4778 0.5679 0.7028  2 Zn 2.45-2.49
Br: 0.1572 0.9656 0.8009  1 Zn 2.45, 1 Li 2.66
Na: 0.2500 0.8909 0.1091  6 Br 2.93-3.13
Na: 0.7500 0.1091 0.8909  6 Br 2.93-3.13
Br: 0.9778 0.7028 0.5679  2 Zn 2.45-2.49
Br: 0.0912 0.6211 0.1325  1 Zn 2.42, 1 Li 2.57
Br: 0.9088 0.3789 0.8675  1 Zn 2.42, 1 Li 2.57
Br: 0.0222 0.2972 0.4321  2 Zn 2.45-2.49
Br: 0.8428 0.0344 0.1991  1 Zn 2.45, 1 Li 2.66
Br: 0.5912 0.1325 0.6211  1 Zn 2.42, 1 Li 2.57
Zn: 0.2651 0.7774 0.6139  4 Br 2.42-2.49

First-principles (GGA-PBE) data for NaLiZn2Br after structural relaxation, as listed in the Alexandria database.

Results
Total magnetization ... 0.00 μB per cell
Uncorrected formation energy ... 0.222 eV per atom
Space-group type ... No. 123

abc: 5.3256 6.0003 5.3256
angles: 90.00 90.00 90.00
Last column: nearest neighbours and their distance in Å.
Positions (direct):
Br: 0.5000 0.5000 0.5000  4 Li 3.77, 8 Zn 4.01
Na: 0.0000 0.0000 0.0000  4 Zn 2.66
Li: 0.0000 0.5000 0.0000  2 Na 3.00
Zn: 0.0000 0.0000 0.5000  2 Na 2.66
Zn: 0.5000 0.0000 0.0000  2 Na 2.66

Look up the uncorrected formation energy of the first one. -1.128 eV per atom

Which value of total magnetization does entry 2 give? 0.00 μB per cell

total magnetization of number 1 (NaLiZn2Br6)? 0.00 μB per cell